Entry from the Alexandria database: ScCoAu2O6 after structural relaxation (PBE+U).

crystal system = monoclinic
volume = 509.3 Å³ per cell
electronic total energy = -5.79 eV per atom
spin magnetization = 4.02 μB/f.u.
calculated density = 7.74 Mg/m³

Structure (CIF):
```
data_ScCoAu2O6
_chemical_formula_sum 'Sc4 Co4 Au8 O24'
_symmetry_space_group_name_H-M 'C 1 2/c 1'
_symmetry_Int_Tables_number 15
_symmetry_space_group_name_Hall '-C 2yc'
_cell_length_a 11.9413
_cell_length_b 7.5449
_cell_length_c 5.8826
_cell_angle_alpha 90.00
_cell_angle_beta 106.06
_cell_angle_gamma 90.00
loop_
_atom_site_label
_atom_site_type_symbol
_atom_site_fract_x
_atom_site_fract_y
_atom_site_fract_z
Sc1 Sc 0.0000 0.1240 0.2500
Co1 Co 0.0000 0.2959 0.7500
Au1 Au 0.2421 0.3640 0.2371
O1 O 0.0747 0.3051 0.0760
O2 O 0.0885 0.0826 0.6271
O3 O 0.1762 0.3834 0.7071
```